# SnIBrN2 (GGA-PBEsol, relaxed)
data_SnIBrN2
_chemical_formula_sum 'Sn1 I1 Br1 N2'
_cell_length_a 4.2124
_cell_length_b 4.2124
_cell_length_c 6.4869
_cell_angle_alpha 90.00
_cell_angle_beta 90.00
_cell_angle_gamma 90.00
_space_group_name_H-M_alt 'P 4/m m m'
_space_group_IT_number 123
_space_group_name_Hall '-P 4 2'
loop_
_atom_site_label
_atom_site_fract_x
_atom_site_fract_y
_atom_site_fract_z
_atom_site_occupancy
Sn1 0.0000 0.0000 0.0000 1
I1 0.5000 0.5000 0.0000 1
Br1 0.5000 0.5000 0.5000 1
N1 0.0000 0.5000 0.5000 1
# D(E_F), states/eV/cell: 2.68
# E above lowest polymorph, meV/atom: 371
# Magnetization, μB per cell: 1.96
# Mass density, g/cm³: 5.10


# SnI2BrN (GGA-PBEsol, relaxed)
data_SnI2BrN
_chemical_formula_sum 'Sn1 I2 Br1 N1'
_cell_length_a 6.0053
_cell_length_b 6.0053
_cell_length_c 3.8827
_cell_angle_alpha 90.00
_cell_angle_beta 90.00
_cell_angle_gamma 90.00
_space_group_name_H-M_alt 'P 4/m m m'
_space_group_IT_number 123
_space_group_name_Hall '-P 4 2'
loop_
_atom_site_label
_atom_site_fract_x
_atom_site_fract_y
_atom_site_fract_z
_atom_site_occupancy
Sn1 0.0000 0.0000 0.0000 1
I1 0.0000 0.5000 0.0000 1
Br1 0.5000 0.5000 0.5000 1
N1 0.0000 0.0000 0.5000 1
# D(E_F), states/eV/cell: 7.70
# Magnetization, μB per cell: 0.96
# VASP energy, eV/atom: -3.01
# Mass density, g/cm³: 5.53


# ZrI2BrN (GGA-PBEsol, relaxed)
data_ZrI2BrN
_chemical_formula_sum 'Zr1 I2 Br1 N1'
_cell_length_a 5.8527
_cell_length_b 5.8527
_cell_length_c 3.9376
_cell_angle_alpha 90.00
_cell_angle_beta 90.00
_cell_angle_gamma 90.00
_space_group_name_H-M_alt 'P 4/m m m'
_space_group_IT_number 123
_space_group_name_Hall '-P 4 2'
loop_
_atom_site_label
_atom_site_fract_x
_atom_site_fract_y
_atom_site_fract_z
_atom_site_occupancy
Zr1 0.0000 0.0000 0.0000 1
I1 0.0000 0.5000 0.0000 1
Br1 0.5000 0.5000 0.5000 1
N1 0.0000 0.0000 0.5000 1
# D(E_F), states/eV/cell: 7.94
# E above lowest polymorph, meV/atom: 0
# Magnetization, μB per cell: 0.00
# Mass density, g/cm³: 5.40